# 1
First-principles (GGA-PBE) data for Ce3As2Ir after structural relaxation, as listed in Alexandria.

Summary:
Its spin magnetization is 2.42 μB/f.u. The calculated density comes out at 7.36 g/cm3. Its total DFT energy (no corrections) is -6.89 eV per atom. The value obtained for the energy of formation from the pure elements is -20.7 kcal/mol of atoms.

Cell: 4.272 5.845 7.485 Å, 112.98 90.00 90.00°
Last column: magnetic moment on the atom in μB.
Element x y z (fractional)
Ce  0.500  0.864  0.727  0.68
Ce  0.500  0.136  0.273  0.68
Ce  0.000  0.500  0.000  0.59
As  0.500  0.348  0.696  -0.03
As  0.500  0.652  0.304  -0.03
Ir  0.000  0.000  0.000  -0.04

***

# 2
First-principles (GGA-PBE) data for Ce3AsIr after structural relaxation, as listed in Alexandria.

Summary:
Its spin magnetization is 1.66 μB/f.u. The calculated density comes out at 8.63 g/cm3. Its total DFT energy (no corrections) is -6.99 eV per atom. The value obtained for the energy of formation from the pure elements is -16.8 kcal/mol of atoms.

Cell: 5.382 7.292 8.574 Å, 119.68 90.00 111.65°
Last column: magnetic moment on the atom in μB.
Element x y z (fractional)
Ce  0.123  0.246  0.555  0.64
Ce  0.622  0.245  0.875  0.31
Ce  0.130  0.260  0.229  0.46
Ce  0.877  0.754  0.445  0.64
Ce  0.870  0.740  0.771  0.46
Ce  0.378  0.755  0.125  0.31
As  0.362  0.723  0.595  -0.02
As  0.638  0.277  0.405  -0.02
Ir  0.114  0.227  0.883  -0.03
Ir  0.886  0.773  0.117  -0.03

***

# 3
First-principles (GGA-PBE) data for Ce2As3Ir2 after structural relaxation, as listed in Alexandria.

Summary:
Its spin magnetization is 0.19 μB/f.u. The calculated density comes out at 10.35 g/cm3. Its total DFT energy (no corrections) is -7.06 eV per atom. The value obtained for the energy of formation from the pure elements is -19.4 kcal/mol of atoms.

Cell: 4.166 7.212 9.728 Å, 90.00 102.36 90.00°
Last column: magnetic moment on the atom in μB.
Element x y z (fractional)
Ce  0.151  0.250  0.301  0.00
Ce  0.849  0.750  0.699  0.00
Ce  0.937  0.250  0.874  0.18
Ce  0.063  0.750  0.126  0.18
As  0.225  0.750  0.449  0.00
As  0.775  0.250  0.551  0.00
As  0.572  0.468  0.145  0.00
As  0.428  0.532  0.855  0.00
As  0.428  0.968  0.855  0.00
As  0.572  0.032  0.145  0.00
Ir  0.701  0.954  0.402  0.00
Ir  0.299  0.046  0.598  0.00
Ir  0.299  0.454  0.598  0.00
Ir  0.701  0.546  0.402  0.00

***

# 4
First-principles (GGA-PBE) data for Ce8AsIr2 after structural relaxation, as listed in Alexandria.

Summary:
Its spin magnetization is 1.91 μB/f.u. The calculated density comes out at 9.48 g/cm3. Its total DFT energy (no corrections) is -6.79 eV per atom. The value obtained for the energy of formation from the pure elements is -10.1 kcal/mol of atoms.

Cell: 5.092 7.912 7.912 Å, 116.26 97.54 97.54°
Last column: magnetic moment on the atom in μB.
Element x y z (fractional)
Ce  0.933  0.927  0.717  0.11
Ce  0.933  0.717  0.927  0.11
Ce  0.329  0.609  0.609  0.37
Ce  0.500  0.760  0.240  0.20
Ce  0.500  0.240  0.760  0.20
Ce  0.671  0.391  0.391  0.37
Ce  0.067  0.283  0.073  0.11
Ce  0.067  0.073  0.283  0.11
As  0.500  0.000  0.000  0.00
Ir  0.000  0.311  0.689  -0.01
Ir  0.000  0.689  0.311  -0.01

***

# 5
First-principles (GGA-PBE) data for LiCe2As4Ir3 after structural relaxation, as listed in Alexandria.

Summary:
Its spin magnetization is 0.45 μB/f.u. The calculated density comes out at 10.38 g/cm3. Its total DFT energy (no corrections) is -6.71 eV per atom. The value obtained for the energy of formation from the pure elements is -18.7 kcal/mol of atoms.

Cell: 4.351 4.351 9.832 Å, 90.00 90.00 90.00°
Last column: magnetic moment on the atom in μB.
Element x y z (fractional)
Li  0.500  0.500  0.500  0.00
Ce  0.500  0.000  0.248  0.26
Ce  0.000  0.500  0.752  0.26
As  0.500  0.500  0.000  0.00
As  0.000  0.000  0.000  0.00
As  0.500  0.000  0.633  -0.01
As  0.000  0.500  0.367  -0.01
Ir  0.000  0.000  0.500  -0.03
Ir  0.500  0.000  0.882  -0.02
Ir  0.000  0.500  0.118  -0.02

***

# 6
First-principles (GGA-PBE) data for LiCeAs2Ir5 after structural relaxation, as listed in Alexandria.

Summary:
Its spin magnetization is 0.70 μB/f.u. The calculated density comes out at 12.48 g/cm3. Its total DFT energy (no corrections) is -6.90 eV per atom. The value obtained for the energy of formation from the pure elements is -1.7 kcal/mol of atoms.

Cell: 4.027 4.027 10.327 Å, 90.00 90.00 90.00°
Last column: magnetic moment on the atom in μB.
Element x y z (fractional)
Li  0.000  0.000  0.000  0.00
Ce  0.000  0.000  0.500  0.66
As  0.500  0.500  0.266  0.00
As  0.500  0.500  0.734  0.00
Ir  0.000  0.500  0.139  0.00
Ir  0.500  0.000  0.139  0.00
Ir  0.000  0.500  0.861  0.00
Ir  0.500  0.000  0.861  0.00
Ir  0.500  0.500  0.500  -0.04